1.
# PBE Li2SbBr, relaxed
# * E_form (uncorrected): -13.9 kcal/mol of atoms
# * DFT total energy: -3.01 eV/atom
data_Li2SbBr
_cell_length_a 5.174
_cell_length_b 5.174
_cell_length_c 3.437
_cell_angle_alpha 84.43
_cell_angle_beta 84.43
_cell_angle_gamma 103.83
_symmetry_space_group_name_H-M 'P 1'
_symmetry_Int_Tables_number 1
_symmetry_space_group_name_Hall 'P 1'
loop_
_atom_site_label
_atom_site_type_symbol
_atom_site_fract_x
_atom_site_fract_y
_atom_site_fract_z
Li1 Li 0.000 0.000 0.000
Br1 Br 0.000 0.500 0.500
Sb1 Sb 0.500 0.000 0.500
Li2 Li 0.500 0.500 0.000

2.
# PBE LiLaMn2, relaxed
# * DFT total energy: -5.28 eV/atom
data_LiLaMn2
_cell_length_a 7.375
_cell_length_b 7.375
_cell_length_c 5.764
_cell_angle_alpha 50.22
_cell_angle_beta 50.22
_cell_angle_gamma 90.00
_symmetry_space_group_name_H-M 'P 1'
_symmetry_Int_Tables_number 1
_symmetry_space_group_name_Hall 'P 1'
loop_
_atom_site_label
_atom_site_type_symbol
_atom_site_fract_x
_atom_site_fract_y
_atom_site_fract_z
Li1 Li 0.250 0.750 0.500
Mn1 Mn 0.875 0.841 0.750
La1 La 0.750 0.250 0.500
Mn2 Mn 0.375 0.409 0.750
Mn3 Mn 0.591 0.125 0.250
Mn4 Mn 0.159 0.625 0.250
Li2 Li 0.500 0.500 0.000
La2 La 0.000 0.000 0.000